Record 1
Computed, not measured: an optimized crystal structure of Ir5Ru2Rh at the PBE-GGA level of DFT.

Results
Energy of formation = 0.23 eV per atom
SG = No. 2
DOS(E_F) = 1.087 states/eV per atom
ρ = 17.47 Mg/m³
V = 481.3 Å³/cell
Calculated total energy = -273.615 eV/cell
Total magnetic moment = 0.00 μB/atom

abc: 7.2013 10.6990 8.1224
angles: 60.83 73.37 100.95
With the nearest neighbours (Å) after each atom.
Fractional coordinates of all 32 atoms:
Ir  0.5303  0.4251  0.8941  7 Ir 2.62-2.87, 1 Ru 2.66, 3 Rh 2.68-2.72
Ir  0.9896  0.0859  0.5825  1 Ru 2.56, 6 Ir 2.66-2.77, 3 Rh 2.66-2.70
Ir  0.0964  0.9525  0.8949  3 Ru 2.59-2.70, 1 Rh 2.59, 6 Ir 2.60-2.89
Rh  0.8746  0.7749  0.8311  8 Ir 2.59-2.76, 1 Rh 2.64, 1 Ru 2.70
Ir  0.1570  0.3704  0.5166  3 Ru 2.62-2.68, 6 Ir 2.63-2.90, 1 Rh 2.74
Ir  0.2058  0.5331  0.9543  7 Ir 2.62-2.91, 2 Ru 2.64-2.69, 2 Rh 2.67-2.71
Ir  0.7000  0.7479  0.1920  3 Ru 2.59-2.65, 6 Ir 2.67-2.89, 1 Rh 2.68
Ir  0.0104  0.9141  0.4175  1 Ru 2.56, 6 Ir 2.66-2.77, 3 Rh 2.66-2.70
Ir  0.7066  0.0333  0.4465  7 Ir 2.64-2.88, 2 Rh 2.64-2.76, 2 Ru 2.65-2.76
Ru  0.2471  0.6773  0.2979  3 Ru 2.57-2.76, 6 Ir 2.65-2.74
Ru  0.7529  0.3227  0.7021  3 Ru 2.57-2.76, 6 Ir 2.65-2.74
Ir  0.2934  0.9667  0.5535  7 Ir 2.64-2.88, 2 Rh 2.64-2.76, 2 Ru 2.65-2.76
Ir  0.3984  0.8323  0.8801  4 Ru 2.56-2.73, 1 Rh 2.64, 3 Ir 2.71-2.74
Ir  0.3995  0.5593  0.5888  8 Ir 2.66-2.90, 3 Ru 2.67-2.75, 1 Rh 2.67
Ru  0.9973  0.6430  0.1388  1 Ru 2.57, 8 Ir 2.62-2.75, 1 Rh 2.70
Rh  0.3936  0.2702  0.3169  1 Rh 2.64, 8 Ir 2.64-2.74
Ir  0.8971  0.3275  0.3598  6 Ir 2.63-2.82, 3 Ru 2.65-2.75, 1 Rh 2.68
Rh  0.1254  0.2251  0.1689  8 Ir 2.59-2.76, 1 Rh 2.64, 1 Ru 2.70
Ir  0.1029  0.6725  0.6402  6 Ir 2.63-2.82, 3 Ru 2.65-2.75, 1 Rh 2.68
Ru  0.4874  0.8718  0.3341  7 Ir 2.56-2.76, 3 Ru 2.61-2.71
Ir  0.6016  0.1677  0.1199  4 Ru 2.56-2.73, 1 Rh 2.64, 3 Ir 2.71-2.74
Ru  0.6879  0.0115  0.9146  4 Ir 2.56-2.73, 4 Ru 2.56-2.76
Ir  0.3000  0.2521  0.8080  3 Ru 2.59-2.65, 6 Ir 2.67-2.89, 1 Rh 2.68
Ir  0.8430  0.6296  0.4834  3 Ru 2.62-2.68, 6 Ir 2.63-2.90, 1 Rh 2.74
Ru  0.3121  0.9885  0.0854  4 Ir 2.56-2.73, 4 Ru 2.56-2.76
Rh  0.6064  0.7298  0.6831  1 Rh 2.64, 8 Ir 2.64-2.74
Ru  0.0027  0.3570  0.8612  1 Ru 2.57, 8 Ir 2.62-2.75, 1 Rh 2.70
Ir  0.7942  0.4669  0.0457  7 Ir 2.62-2.91, 2 Ru 2.64-2.69, 2 Rh 2.67-2.71
Ru  0.5126  0.1282  0.6659  7 Ir 2.56-2.76, 3 Ru 2.61-2.71
Ir  0.6005  0.4407  0.4112  8 Ir 2.66-2.90, 3 Ru 2.67-2.75, 1 Rh 2.67
Ir  0.4697  0.5749  0.1059  7 Ir 2.62-2.87, 1 Ru 2.66, 3 Rh 2.68-2.72
Ir  0.9036  0.0475  0.1051  3 Ru 2.59-2.70, 1 Rh 2.59, 6 Ir 2.60-2.89

Record 2
Computed, not measured: an optimized crystal structure of Ir4RuRh7 at the PBE-GGA level of DFT.

Results
Distance to the lowest polymorph of the same formula = 575 meV per atom
Energy of formation = 0.57 eV per atom
SG = No. 12
DOS(E_F) = 1.622 states/eV per atom
ρ = 13.80 Mg/m³
V = 191.4 Å³/cell
Calculated total energy = -89.300 eV/cell
Total magnetic moment = 0.00 μB/atom

abc: 4.5571 8.2358 5.7780
angles: 81.82 66.77 73.94
With the nearest neighbours (Å) after each atom.
Fractional coordinates of all 12 atoms:
Ir  0.7130  0.6807  0.8934  8 Rh 2.61-2.80, 1 Ir 2.63
Rh  0.7854  0.9082  0.5210  4 Ir 2.62-2.67, 4 Rh 2.67-2.71, 1 Ru 2.83
Ir  0.5684  0.2274  0.6358  8 Rh 2.54-2.67, 1 Ir 2.63
Rh  0.6397  0.4470  0.2737  5 Ir 2.54-2.69, 4 Rh 2.58-2.81
Ir  0.4316  0.7726  0.3642  8 Rh 2.54-2.67, 1 Ir 2.63
Rh  0.3604  0.5530  0.7263  5 Ir 2.54-2.69, 4 Rh 2.58-2.81
Rh  0.5000  0.0000  0.0000  2 Ru 2.28
Rh  0.2146  0.0918  0.4790  4 Ir 2.62-2.67, 4 Rh 2.67-2.71, 1 Ru 2.83
Rh  0.9244  0.3496  0.8015  5 Ir 2.64-2.80, 4 Rh 2.65-2.81, 1 Ru 2.92
Rh  0.0756  0.6504  0.1985  5 Ir 2.64-2.80, 4 Rh 2.65-2.81, 1 Ru 2.92
Ru  0.0000  0.0000  0.0000  2 Rh 2.28
Ir  0.2870  0.3193  0.1066  8 Rh 2.61-2.80, 1 Ir 2.63

Record 3
Computed, not measured: an optimized crystal structure of Ir3Ru3Rh2 at the PBE-GGA level of DFT.

Results
Distance to the lowest polymorph of the same formula = 264 meV per atom
Energy of formation = 0.25 eV per atom
SG = No. 38
DOS(E_F) = 1.120 states/eV per atom
ρ = 15.15 Mg/m³
V = 119.0 Å³/cell
Calculated total energy = -67.099 eV/cell
Total magnetic moment = 0.00 μB/atom

abc: 2.7171 7.1112 7.1112
angles: 120.00 90.00 90.00
With the nearest neighbours (Å) after each atom.
Fractional coordinates of all 8 atoms:
Rh  0.0000  0.3335  0.6663  6 Ir 2.65, 3 Ru 2.66, 2 Rh 2.72
Rh  0.0000  0.6663  0.3335  6 Ir 2.65, 3 Ru 2.66, 2 Rh 2.72
Ir  0.5000  0.3629  0.9998  4 Rh 2.65, 4 Ru 2.68, 2 Ir 2.72
Ru  0.0000  0.2613  0.2613  2 Rh 2.66, 4 Ir 2.68, 2 Ru 2.72
Ir  0.5000  0.6381  0.6381  4 Rh 2.65, 4 Ru 2.68, 2 Ir 2.72
Ru  0.0000  0.0004  0.7377  2 Rh 2.66, 4 Ir 2.68, 2 Ru 2.72
Ru  0.0000  0.7377  0.0004  2 Rh 2.66, 4 Ir 2.68, 2 Ru 2.72
Ir  0.5000  0.9998  0.3629  4 Rh 2.65, 4 Ru 2.68, 2 Ir 2.72

Question: Which value of DOS(E_F) does entry 3 give?
Answer: 1.120 states/eV per atom

Question: total magnetic moment of number 2 (Ir4RuRh7)?
Answer: 0.00 μB/atom